<one>
DFT (PBE) results for a relaxed structure of Er3Sc7.

Structure (POSCAR):
```
Er3Sc7
1.0
7.7470 -2.6221 0.0000
7.7470 2.6221 0.0000
-1.4391 0.0000 6.4667
Er Sc
3 7
direct
0.0000 0.0000 0.0000
0.2114 0.2114 0.8497
0.7886 0.7886 0.1503
0.0000 0.0000 0.5000
0.2105 0.2105 0.3580
0.4020 0.4020 0.6936
0.4035 0.4035 0.2065
0.5965 0.5965 0.7935
0.5980 0.5980 0.3064
0.7895 0.7895 0.6420
```

Properties
**N(E_F)**: 21.1 states/eV per cell
**Size of the total moment**: 2.000 μB/f.u.

---

<two>
DFT (PBE) results for a relaxed structure of Er3Sc7.

Structure (POSCAR):
```
Er3Sc7
1.0
10.1820 0.0000 0.0000
-5.0910 8.8179 0.0000
0.0000 0.0000 5.8988
Er Sc
6 14
direct
0.2056 0.4113 0.0000
0.2056 0.7944 0.0000
0.4113 0.2056 0.5000
0.5887 0.7944 0.0000
0.7944 0.2056 0.5000
0.7944 0.5887 0.5000
0.0604 0.5302 0.6412
0.1183 0.2365 0.4834
0.1183 0.8817 0.4834
0.2365 0.1183 0.9834
0.3333 0.6667 0.3560
0.4698 0.5302 0.6412
0.4698 0.9396 0.6412
0.5302 0.0604 0.1412
0.5302 0.4698 0.1412
0.6667 0.3333 0.8560
0.7635 0.8817 0.4834
0.8817 0.1183 0.9834
0.8817 0.7635 0.9834
0.9396 0.4698 0.1412
```

Properties
**N(E_F)**: 41.1 states/eV per cell
**Size of the total moment**: 0.001 μB/f.u.

---

Relative energies, kJ/mol of atoms: <one> 0.0; <two> 14.2.

---

<one>
DFT (PBE) results for a relaxed structure of Er8Sc3.

Structure (POSCAR):
```
Er8Sc3
1.0
4.6685 2.6953 4.3601
-4.6685 2.6953 4.3601
0.0000 -5.3907 4.3601
Er Sc
8 3
direct
0.1209 0.1209 0.1209
0.1915 0.3463 0.6224
0.3463 0.6224 0.1915
0.3776 0.8085 0.6537
0.6224 0.1915 0.3463
0.6537 0.3776 0.8085
0.8085 0.6537 0.3776
0.8791 0.8791 0.8791
0.0000 0.0000 0.5000
0.0000 0.5000 0.0000
0.5000 0.0000 0.0000
```

Properties
**N(E_F)**: 11.8 states/eV per cell
**Size of the total moment**: 0.000 μB/f.u.

---

<two>
DFT (PBE) results for a relaxed structure of Er8Sc3.

Structure (POSCAR):
```
Er8Sc3
1.0
2.6373 1.5226 15.1690
-2.6373 1.5226 15.1690
0.0000 -3.0453 15.1690
Er Sc
8 3
direct
0.1040 0.1040 0.1040
0.1837 0.1837 0.1837
0.3152 0.3152 0.3152
0.3880 0.3880 0.3880
0.6120 0.6120 0.6120
0.6848 0.6848 0.6848
0.8163 0.8163 0.8163
0.8960 0.8960 0.8960
0.0000 0.0000 0.0000
0.2484 0.2484 0.2484
0.7516 0.7516 0.7516
```

Properties
**N(E_F)**: 14.9 states/eV per cell
**Size of the total moment**: 0.000 μB/f.u.

---

Relative energies, kJ/mol of atoms: <one> 0.0; <two> 4.6.

---

<one>
DFT (PBE) results for a relaxed structure of Er2Sc.

Structure (POSCAR):
```
Er2Sc
1.0
-1.7201 1.7201 7.2052
1.7201 -1.7201 7.2052
1.7201 1.7201 -7.2052
Er Sc
2 1
direct
0.1622 0.1622 0.0000
0.8378 0.8378 0.0000
0.5000 0.5000 0.0000
```

Properties
**N(E_F)**: 4.3 states/eV per cell
**Size of the total moment**: 0.000 μB/f.u.

---

<two>
DFT (PBE) results for a relaxed structure of Er2Sc.

Structure (POSCAR):
```
Er2Sc
1.0
2.8038 -5.4763 0.0000
2.8038 5.4763 0.0000
0.0000 0.0000 5.6138
Er Sc
4 2
direct
0.0777 0.9223 0.7500
0.2527 0.7473 0.2500
0.7473 0.2527 0.7500
0.9223 0.0777 0.2500
0.4216 0.5784 0.7500
0.5784 0.4216 0.2500
```

Properties
**N(E_F)**: 14.2 states/eV per cell
**Size of the total moment**: 0.001 μB/f.u.

---

Relative energies, kJ/mol of atoms: <one> 0.0; <two> 8.7.

---

<one>
DFT (PBE) results for a relaxed structure of Er2Sc.

Structure (POSCAR):
```
Er2Sc
1.0
0.0000 4.4723 4.4723
4.4723 0.0000 4.4723
4.4723 4.4723 0.0000
Er Sc
4 2
direct
0.0000 0.0000 0.0000
0.0000 0.0000 0.5000
0.0000 0.5000 0.0000
0.5000 0.0000 0.0000
0.3750 0.3750 0.3750
0.6250 0.6250 0.6250
```

Properties
**N(E_F)**: 10.1 states/eV per cell
**Size of the total moment**: 0.024 μB/f.u.

---

<two>
DFT (PBE) results for a relaxed structure of Er2Sc.

Structure (POSCAR):
```
Er2Sc
1.0
-1.6876 2.7949 4.7125
1.6876 -2.7949 4.7125
1.6876 2.7949 -4.7125
Er Sc
2 1
direct
0.1886 0.1886 0.0000
0.8114 0.8114 0.0000
0.5000 0.0000 0.5000
```

Properties
**N(E_F)**: 5.7 states/eV per cell
**Size of the total moment**: 0.000 μB/f.u.

---

Relative energies, kJ/mol of atoms: <one> 13.9; <two> 0.0.

---

<one>
DFT (PBE) results for a relaxed structure of Er2Sc5.

Structure (POSCAR):
```
Er2Sc5
1.0
2.6460 1.5277 7.6234
-2.6460 1.5277 7.6234
0.0000 -3.0554 7.6234
Er Sc
2 5
direct
0.1382 0.1382 0.1382
0.8618 0.8618 0.8618
0.0000 0.0000 0.0000
0.2887 0.2887 0.2887
0.4266 0.4266 0.4266
0.5734 0.5734 0.5734
0.7113 0.7113 0.7113
```

Properties
**N(E_F)**: 16.8 states/eV per cell
**Size of the total moment**: 0.004 μB/f.u.

---

<two>
DFT (PBE) results for a relaxed structure of Er2Sc5.

Structure (POSCAR):
```
Er2Sc5
1.0
6.3885 -1.7575 0.0000
6.3885 1.7575 0.0000
-1.9998 0.0000 8.2190
Er Sc
2 5
direct
0.0839 0.0839 0.2012
0.9161 0.9161 0.7988
0.2012 0.2012 0.6112
0.3461 0.3461 0.1061
0.5000 0.5000 0.5000
0.6539 0.6539 0.8939
0.7988 0.7988 0.3888
```

Properties
**N(E_F)**: 13.1 states/eV per cell
**Size of the total moment**: 0.000 μB/f.u.

---

Relative energies, kJ/mol of atoms: <one> 5.2; <two> 0.0.

---

<one>
DFT (PBE) results for a relaxed structure of Er2Sc3.

Structure (POSCAR):
```
Er2Sc3
1.0
0.0000 14.7824 1.6359
5.5480 0.0000 1.6359
5.5480 14.7824 0.0000
Er Sc
4 6
direct
0.0306 0.4694 0.0716
0.1784 0.8216 0.2194
0.4694 0.0306 0.4284
0.8216 0.1784 0.7806
0.0001 0.7314 0.6967
0.1693 0.1693 0.8307
0.4193 0.4193 0.0807
0.5533 0.6782 0.2499
0.6782 0.5533 0.5186
0.7314 0.0001 0.5718
```

Properties
**N(E_F)**: 16.0 states/eV per cell
**Size of the total moment**: 0.000 μB/f.u.

---

<two>
DFT (PBE) results for a relaxed structure of Er2Sc3.

Structure (POSCAR):
```
Er2Sc3
1.0
5.5933 -2.9540 0.0000
5.5933 2.9540 0.0000
-2.9697 0.0000 8.1487
Er Sc
4 6
direct
0.0728 0.7305 0.5505
0.2695 0.9272 0.9495
0.7305 0.0728 0.0505
0.9272 0.2695 0.4495
0.1269 0.4633 0.8494
0.3364 0.6636 0.2500
0.4633 0.1269 0.3494
0.5367 0.8731 0.6506
0.6636 0.3364 0.7500
0.8731 0.5367 0.1506
```

Properties
**N(E_F)**: 17.8 states/eV per cell
**Size of the total moment**: 0.000 μB/f.u.

---

Relative energies, kJ/mol of atoms: <one> 9.2; <two> 0.0.